Entry 1:
## RbTb6Te8 (GGA-PBE)

Data for a relaxed RbTb6Te8 crystal.

Cell lengths 11.744, 11.744, 4.470 Å; angles 90.00, 90.00, 120.00 degrees
Atoms (fractional coordinates):
Rb 0.000 0.000 0.000
Tb 0.136 0.487 0.249
Tb 0.350 0.864 0.249
Tb 0.487 0.350 0.751
Tb 0.513 0.650 0.249
Tb 0.650 0.136 0.751
Tb 0.864 0.513 0.751
Te 0.045 0.694 0.251
Te 0.306 0.351 0.251
Te 0.333 0.667 0.749
Te 0.351 0.045 0.749
Te 0.649 0.955 0.251
Te 0.667 0.333 0.251
Te 0.694 0.649 0.749
Te 0.955 0.306 0.749

Properties
Final energy ... -4.946 eV/atom
N(E_F) ... 12.9 states/eV/cell

---

Entry 2:
## Rb3TbTh2Te6 (GGA-PBE)

Data for a relaxed Rb3TbTh2Te6 crystal.

Cell lengths 7.817, 7.817, 9.101 Å; angles 98.23, 98.23, 119.99 degrees
Atoms (fractional coordinates):
Rb 0.000 0.000 0.000
Rb 0.332 0.668 0.000
Rb 0.668 0.332 0.000
Tb 0.500 0.500 0.500
Th 0.166 0.834 0.500
Th 0.834 0.166 0.500
Te 0.101 0.431 0.293
Te 0.240 0.240 0.708
Te 0.431 0.101 0.293
Te 0.569 0.899 0.707
Te 0.760 0.760 0.292
Te 0.899 0.569 0.707

Properties
Final energy ... -4.667 eV/atom
N(E_F) ... 7.2 states/eV/cell

---

Entry 3:
## Rb4Tb3ThTe8 (GGA-PBE)

Data for a relaxed Rb4Tb3ThTe8 crystal.

Cell lengths 10.074, 10.074, 10.074 Å; angles 53.48, 53.48, 53.48 degrees
Atoms (fractional coordinates):
Rb 0.000 0.000 0.000
Rb 0.000 0.500 0.500
Rb 0.500 0.000 0.500
Rb 0.500 0.500 0.000
Tb 0.000 0.000 0.500
Tb 0.000 0.500 0.000
Tb 0.500 0.000 0.000
Th 0.500 0.500 0.500
Te 0.232 0.736 0.736
Te 0.233 0.233 0.233
Te 0.264 0.264 0.768
Te 0.264 0.768 0.264
Te 0.736 0.232 0.736
Te 0.736 0.736 0.232
Te 0.767 0.767 0.767
Te 0.768 0.264 0.264

Properties
Final energy ... -4.475 eV/atom
N(E_F) ... 5.1 states/eV/cell

---

Entry 4:
## Rb2TbTh2Te6 (GGA-PBE)

Data for a relaxed Rb2TbTh2Te6 crystal.

Cell lengths 7.747, 7.747, 9.255 Å; angles 98.10, 98.10, 119.94 degrees
Atoms (fractional coordinates):
Rb 0.168 0.832 0.000
Rb 0.832 0.168 0.000
Tb 0.000 0.000 0.500
Th 0.333 0.667 0.500
Th 0.667 0.333 0.500
Te 0.071 0.399 0.704
Te 0.264 0.264 0.297
Te 0.399 0.071 0.704
Te 0.601 0.929 0.296
Te 0.736 0.736 0.703
Te 0.929 0.601 0.296

Properties
Final energy ... -4.927 eV/atom
N(E_F) ... 5.4 states/eV/cell

---

- The lowest N(E_F) belongs to which entry?
  Rb4Tb3ThTe8